First-principles (PBE) data for a relaxed Ac6Si2O crystal, as listed in Alexandria.

Results
E_form (uncorrected) (eV/atom): -0.809
V (Å³/cell): 590
D(E_F) (states/eV/atom): 1.069

a b c (Å): 7.0657 8.2251 12.2653
angles (deg): 90.00 124.15 90.00
With the nearest neighbours (Å) after each atom.
Space group P2_1/c (No. 14)
Inequivalent atoms, fractional coordinates:
Ac 0.0911 0.1741 0.4415 [4 per cell]  1 O 2.93, 2 Si 3.18-3.24
Ac 0.3035 0.7045 0.4380 [4 per cell]  1 O 2.69
Ac 0.3959 0.0358 0.2558 [4 per cell]  1 O 2.67
Si 0.1886 0.1203 0.7523 [4 per cell]  8 Ac 3.17-3.53
O 0.5000 0.0000 0.5000 [2 per cell]  6 Ac 2.67-2.93



First-principles (PBE) data for a relaxed DyGe3Pt3 crystal, as listed in Alexandria.

Results
V (Å³/cell): 315
D(E_F) (states/eV/atom): 0.601
Energy of formation (eV per atom): -0.33

a b c (Å): 6.8061 6.8061 6.8061
angles (deg): 90.00 90.00 90.00
With the nearest neighbours (Å) after each atom.
Space group Pm-3n (No. 223)
Inequivalent atoms, fractional coordinates:
Dy 0.0000 0.0000 0.0000 [2 per cell]  12 Ge 3.80, 12 Pt 3.80
Ge 0.0000 0.2500 0.5000 [6 per cell]  4 Pt 2.41
Pt 0.0000 0.5000 0.2500 [6 per cell]  4 Ge 2.41



First-principles (PBE) data for a relaxed LiFe2Mo crystal, as listed in Alexandria.

Results
V (Å³/cell): 48
D(E_F) (states/eV/atom): 1.015
Energy of formation (eV per atom): 0.32

a b c (Å): 3.9783 3.9783 3.0304
angles (deg): 90.00 90.00 90.00
With the nearest neighbours (Å) after each atom.
Space group P4/mmm (No. 123)
Inequivalent atoms, fractional coordinates:
Li 0.0000 0.0000 0.0000 [1 per cell]  8 Fe 2.50
Fe 0.0000 0.5000 0.5000 [2 per cell]  4 Mo 2.50, 4 Li 2.50
Mo 0.5000 0.5000 0.0000 [1 per cell]  8 Fe 2.50



First-principles (PBE) data for a relaxed NaPm2Sn3 crystal, as listed in Alexandria.

Results
V (Å³/cell): 357
D(E_F) (states/eV/atom): 0.668
Energy of formation (eV per atom): -0.36

a b c (Å): 3.4650 5.7067 18.0463
angles (deg): 90.00 90.00 90.00
With the nearest neighbours (Å) after each atom.
Space group Immm (No. 71)
Inequivalent atoms, fractional coordinates:
Na 0.0000 0.0000 0.0000 [2 per cell]  4 Sn 2.85-3.04
Pm 0.0000 0.0000 0.3457 [4 per cell]  7 Sn 3.20-3.35, 2 Pm 3.47
Sn 0.0000 0.0000 0.1686 [4 per cell]  1 Na 3.04, 5 Pm 3.20-3.35
Sn 0.0000 0.5000 0.0000 [2 per cell]  2 Na 2.85



First-principles (PBE) data for a relaxed GaSb2Pb2 crystal, as listed in Alexandria.

Results
E_form (uncorrected) (eV/atom): 0.227
V (Å³/cell): 311
D(E_F) (states/eV/atom): 0.678

a b c (Å): 4.1991 4.1991 17.6639
angles (deg): 90.00 90.00 90.00
With the nearest neighbours (Å) after each atom.
Space group I4/mmm (No. 139)
Inequivalent atoms, fractional coordinates:
Ga 0.0000 0.0000 0.0000 [2 per cell]  8 Pb 3.41
Sb 0.0000 0.5000 0.2500 [4 per cell]  4 Sb 2.97
Pb 0.0000 0.0000 0.4054 [4 per cell]  1 Pb 3.34, 4 Ga 3.41, 4 Sb 3.46



First-principles (PBE) data for a relaxed NaAgTe2 crystal, as listed in Alexandria.

Results
E_form (uncorrected) (eV/atom): -0.280
V (Å³/cell): 346
D(E_F) (states/eV/atom): 0.291

a b c (Å): 4.7959 4.7959 17.3713
angles (deg): 90.00 90.00 120.00
With the nearest neighbours (Å) after each atom.
Space group R3m (No. 160, hexagonal axes)
Inequivalent atoms, fractional coordinates:
Na 0.0000 0.0000 0.0000 [3 per cell]  6 Te 3.10-3.19, 1 Ag 3.15
Ag 0.0000 0.0000 0.1812 [3 per cell]  6 Te 3.03-3.18, 1 Na 3.15
Te 0.0000 0.0000 0.5859 [3 per cell]  1 Te 2.98, 3 Ag 3.03, 3 Na 3.10
Te 0.0000 0.0000 0.7574 [3 per cell]  1 Te 2.98, 3 Ag 3.18, 3 Na 3.19



First-principles (PBE) data for a relaxed KNa4Tl6 crystal, as listed in Alexandria.

Results
V (Å³/cell): 353
D(E_F) (states/eV/atom): 0.432
Energy of formation (eV per atom): -0.06

a b c (Å): 8.9082 8.9082 5.1348
angles (deg): 90.00 90.00 120.00
With the nearest neighbours (Å) after each atom.
Space group P-6m2 (No. 187)
Inequivalent atoms, fractional coordinates:
K 0.0000 0.0000 0.0000 [1 per cell]  6 Na 3.98, 6 Tl 4.12
Na 0.3333 0.6667 0.0000 [1 per cell]  9 Tl 3.11-3.20
Na 0.3938 0.1969 0.5000 [3 per cell]  6 Tl 3.14-3.30
Tl 0.2091 0.4182 0.5000 [3 per cell]  4 Na 3.14-3.20, 2 Tl 3.32
Tl 0.5349 0.0698 0.0000 [3 per cell]  5 Na 3.11-3.30



First-principles (PBE) data for a relaxed LiZrCl crystal, as listed in Alexandria.

Results
E_form (uncorrected) (eV/atom): 0.437
V (Å³/cell): 256
D(E_F) (states/eV/atom): 1.257

a b c (Å): 6.3502 6.3502 6.3502
angles (deg): 90.00 90.00 90.00
With the nearest neighbours (Å) after each atom.
Space group F-43m (No. 216)
Inequivalent atoms, fractional coordinates:
Li 0.0000 0.0000 0.0000 [4 per cell]  4 Zr 2.75
Zr 0.2500 0.2500 0.2500 [4 per cell]  4 Cl 2.75, 4 Li 2.75
Cl 0.0000 0.0000 0.5000 [4 per cell]  4 Zr 2.75



Number 1: size of the total moment 0.00 μB per cell. Number 2: size of the total moment 0.00 μB per cell. Number 3: size of the total moment 0.85 μB per cell. Number 4: size of the total moment 0.00 μB per cell. Number 5: size of the total moment 0.00 μB per cell. Number 6: size of the total moment 0.00 μB per cell. Number 7: size of the total moment 0.00 μB per cell. Number 8: size of the total moment 2.08 μB per cell.